Record 1
! Ta3TlS (PBE, relaxed); values from VASP
&SYSTEM
  ibrav = 0, nat = 5, ntyp = 3
/
ATOMIC_SPECIES
Ta 180.95 Ta.upf
Tl 204.38 Tl.upf
S 32.06 S.upf
CELL_PARAMETERS angstrom
5.102 0.000 0.000
0.000 5.102 0.000
0.000 0.000 5.102
ATOMIC_POSITIONS crystal
Ta 0.000 0.000 0.500
Ta 0.000 0.500 0.000
Ta 0.500 0.000 0.000
Tl 0.000 0.000 0.000
S 0.500 0.500 0.500
! - symmetry = Pm-3m, No. 221
! - E above lowest polymorph (eV per atom) = 2.197
! - spin magnetization (μB/cell) = 0.0
! - formation energy from raw total energies (meV/atom) = 2640
! - calculated density (g cm⁻³) = 9.7

***

Record 2
! CrCo2 (PBE, relaxed); values from VASP
&SYSTEM
  ibrav = 0, nat = 6, ntyp = 2
/
ATOMIC_SPECIES
Cr 52.00 Cr.upf
Co 58.93 Co.upf
CELL_PARAMETERS angstrom
-2.818 2.818 2.179
2.818 -2.818 2.179
2.818 2.818 -2.179
ATOMIC_POSITIONS crystal
Cr 0.250 0.250 0.000
Cr 0.750 0.750 0.000
Co 0.143 0.643 0.785
Co 0.357 0.143 0.500
Co 0.643 0.857 0.500
Co 0.857 0.357 0.215
! - symmetry = I4/mcm, No. 140
! - spin magnetization (μB/cell) = 3.5
! - calculated density (g cm⁻³) = 8.2
! - energy of formation from the pure elements (eV per atom) = 0.35

***

Record 3
! SmMnCdC (PBE, relaxed); values from VASP
&SYSTEM
  ibrav = 0, nat = 8, ntyp = 4
/
ATOMIC_SPECIES
Sm 150.36 Sm.upf
Mn 54.94 Mn.upf
Cd 112.41 Cd.upf
C 12.01 C.upf
CELL_PARAMETERS angstrom
3.725 0.000 0.000
0.000 3.725 0.000
0.000 0.000 10.415
ATOMIC_POSITIONS crystal
Sm 0.250 0.250 0.215
Sm 0.750 0.750 0.785
Mn 0.250 0.750 0.000
Mn 0.750 0.250 0.000
Cd 0.250 0.750 0.500
Cd 0.750 0.250 0.500
C 0.250 0.250 0.928
C 0.750 0.750 0.072
! - symmetry = P4/nmm, No. 129
! - spin magnetization (μB/cell) = 1.4
! - calculated density (g cm⁻³) = 7.6
! - energy of formation from the pure elements (eV per atom) = 0.01